This record from Alexandria describes a relaxed Pr6Rh2SeS3 crystal. The functional is GGA-PBE.

formation energy without anion corrections = -142.6 kJ per mole of atoms
space-group type = C2/m

Cell: 4.0970 8.5640 9.4178 Å, 104.91 102.56 90.00°
Positions (direct):
Pr 0.3275 0.8987 0.6549
Pr 0.6691 0.5826 0.3382
Pr 0.6725 0.1013 0.3451
Pr 0.0053 0.2631 0.0106
Pr 0.9947 0.7369 0.9894
Pr 0.3309 0.4174 0.6618
Rh 0.8311 0.6619 0.6621
Rh 0.1689 0.3381 0.3379
Se 0.5000 0.0000 0.0000
S 0.5000 0.5000 0.0000
S 0.8396 0.1601 0.6792
S 0.1604 0.8399 0.3208